# 1
Here is a relaxed BeAs2Rh crystal from Alexandria via LeMat-Bulk. Energies are from PBE-GGA.

Lattice parameters (Å, degrees): 4.5972 4.5972 4.5972 132.71 121.09 78.77
Element x y z (fractional)
As  0.9729  0.9729  0.0000
Be  0.7500  0.2500  0.5000
Rh  0.2500  0.7500  0.5000
As  0.5271  0.5271  0.0000

Properties
SG: Immm (71)
ΔH_f (0 K), eV per atom: 0.09
DFT total energy, eV/atom: -5.000

# 2
Here is a relaxed CdP2C2 crystal from Alexandria via LeMat-Bulk. Energies are from PBE-GGA.

Lattice parameters (Å, degrees): 3.8499 3.8499 5.6098 69.93 69.93 90.00
Element x y z (fractional)
Cd  0.0000  0.0000  0.0000
C  0.2463  0.2463  0.5073
P  0.2500  0.7500  0.5000
P  0.7500  0.2500  0.5000
C  0.7537  0.7537  0.4927

Properties
SG: I4/mmm (139)
ΔH_f (0 K), eV per atom: 1.14
DFT total energy, eV/atom: -4.898
Offset from the most stable computed form, eV per formula unit: 0.00

Number 1: Fermi-level density of states 1.6 states/eV/cell, theoretical density 7.34 g/cm³. Number 2: Fermi-level density of states 1.9 states/eV/cell, theoretical density 4.53 g/cm³.